(1)
# NaAcWO5

NaAcWO5 after structural relaxation (PBE with a Hubbard U, the Alexandria database).

## Properties
E_tot   -7.0369 eV per atom
M_tot   0.00 μB/cell

Cell lengths 7.128, 11.760, 8.602 Å; angles 90.00, 114.44, 90.00 degrees
Space group C2/c (No. 15)
Unique sites:
Na (0.000, 0.235, 0.250) (multiplicity 4)
Ac (0.000, 0.500, 0.000) (multiplicity 4)
W (0.000, 0.214, 0.750) (multiplicity 4)
O (0.000, 0.422, 0.250) (multiplicity 4)
O (0.146, 0.305, 0.666) (multiplicity 8)
O (0.170, 0.124, 0.920) (multiplicity 8)

=====

(2)
# Pm2MnInO6

Pm2MnInO6 after structural relaxation (PBE with a Hubbard U, the Alexandria database).

## Properties
E_tot   -7.4416 eV per atom
M_tot   8.00 μB/cell

Cell lengths 5.538, 5.990, 9.605 Å; angles 90.00, 124.60, 90.00 degrees
Space group P2_1/c (No. 14)
Unique sites:
Pm (0.227, 0.073, 0.247) (multiplicity 4)
Mn (0.500, 0.000, 0.000) (multiplicity 2)
In (0.000, 0.000, 0.500) (multiplicity 2)
O (0.153, 0.178, 0.947) (multiplicity 4)
O (0.240, 0.688, 0.933) (multiplicity 4)
O (0.383, 0.044, 0.765) (multiplicity 4)

=====

Question: Which formula does entry 1 have?
Answer: NaAcWO5

=====

Question: Among the records above, which one has the highest M_tot?
Answer: Pm2MnInO6

=====

Repeat the second record exactly.
# Pm2MnInO6

Pm2MnInO6 after structural relaxation (PBE with a Hubbard U, the Alexandria database).

## Properties
E_tot   -7.4416 eV per atom
M_tot   8.00 μB/cell

Cell lengths 5.538, 5.990, 9.605 Å; angles 90.00, 124.60, 90.00 degrees
Space group P2_1/c (No. 14)
Unique sites:
Pm (0.227, 0.073, 0.247) (multiplicity 4)
Mn (0.500, 0.000, 0.000) (multiplicity 2)
In (0.000, 0.000, 0.500) (multiplicity 2)
O (0.153, 0.178, 0.947) (multiplicity 4)
O (0.240, 0.688, 0.933) (multiplicity 4)
O (0.383, 0.044, 0.765) (multiplicity 4)